# Ba2MgCd

A PBEsol-optimized structure of Ba2MgCd (meta-GGA SCAN, Alexandria).

## Properties
The value obtained for the energy relative to the elements is -0.21 eV per atom. The space group is P4/mmm, No. 123. The total energy comes out at -115.3 eV for the cell shown. The total magnetization comes out at 0.00 μB/f.u. The value obtained for the density is 4544 kg/m3.

POSCAR file:
```
Ba2MgCd
1.0
4.236 0.000 0.000
0.000 5.957 0.000
0.000 0.000 5.957
Mg Ba Cd
1 2 1
Cartesian
2.118 0.000 0.000
0.000 0.000 2.979
0.000 2.979 0.000
2.118 2.979 2.979
```